1.
MgMnCr | PBE | optimized geometry

Results
The formation energy is 0.4830 eV/atom. The polymorph energy (0 for the lowest one) is 71 kJ/mol of formula units. The size of the total moment comes out at 4.3 Bohr magnetons per cell.

Cell lengths 6.5629, 6.5629, 6.5629 Å; angles 156.65, 156.65, 33.26 degrees
Last column: nearest neighbours and their distance in Å.
Fractional positions:
Mg 0.0000 0.0000 0.0000  4 Mg 2.66, 4 Cr 2.93, 4 Mn 2.94
Mn 0.3197 0.3197 0.0000  4 Cr 2.58, 4 Mn 2.66
Cr 0.6792 0.6792 0.0000  4 Mn 2.58, 4 Cr 2.66


2.
Li3Ho2AlNi12 | PBE | optimized geometry

Results
The formation energy is 0.3985 eV/atom. The size of the total moment comes out at 0.0 Bohr magnetons per cell.

Cell lengths 7.2095, 7.2095, 7.2095 Å; angles 60.65, 60.65, 60.65 degrees
Last column: nearest neighbours and their distance in Å.
Fractional positions:
Li 0.0000 0.5000 0.5000  6 Ni 2.20-2.28
Li 0.5000 0.0000 0.5000  6 Ni 2.20-2.28
Li 0.5000 0.5000 0.0000  6 Ni 2.20-2.28
Ho 0.1096 0.1096 0.1096  6 Ni 2.47-2.55
Ho 0.8904 0.8904 0.8904  6 Ni 2.47-2.55
Al 0.5000 0.5000 0.5000  6 Ni 2.35
Ni 0.1043 0.6421 0.6421  1 Li 2.28, 1 Al 2.35, 2 Ni 2.55, 1 Ho 2.55
Ni 0.1298 0.1298 0.6200  2 Li 2.20
Ni 0.1298 0.6200 0.1298  2 Li 2.20
Ni 0.3579 0.3579 0.8957  1 Li 2.28, 1 Al 2.35, 2 Ni 2.55, 1 Ho 2.55
Ni 0.3579 0.8957 0.3579  1 Li 2.28, 1 Al 2.35, 2 Ni 2.55, 1 Ho 2.55
Ni 0.3800 0.8702 0.8702  2 Li 2.20
Ni 0.6200 0.1298 0.1298  2 Li 2.20
Ni 0.6421 0.1043 0.6421  1 Li 2.28, 1 Al 2.35, 2 Ni 2.55, 1 Ho 2.55
Ni 0.6421 0.6421 0.1043  1 Li 2.28, 1 Al 2.35, 2 Ni 2.55, 1 Ho 2.55
Ni 0.8702 0.3800 0.8702  2 Li 2.20
Ni 0.8702 0.8702 0.3800  2 Li 2.20
Ni 0.8957 0.3579 0.3579  1 Li 2.28, 1 Al 2.35, 2 Ni 2.55, 1 Ho 2.55


3.
Pm3CuNi | PBE | optimized geometry

Results
The formation energy is -0.1668 eV/atom. The size of the total moment comes out at 0.0 Bohr magnetons per cell.

Cell lengths 6.2156, 6.2156, 7.8294 Å; angles 108.62, 108.62, 64.23 degrees
Last column: nearest neighbours and their distance in Å.
Fractional positions:
Pm 0.0077 0.0077 0.2402  2 Ni 2.76, 2 Cu 2.91
Pm 0.3095 0.3095 0.6670  2 Ni 2.91, 2 Cu 3.05
Pm 0.3103 0.3103 0.1435  2 Ni 2.92, 2 Cu 3.03
Pm 0.6897 0.6897 0.8565  2 Ni 2.92, 2 Cu 3.03
Pm 0.6905 0.6905 0.3330  2 Ni 2.91, 2 Cu 3.05
Pm 0.9923 0.9923 0.7598  2 Ni 2.76, 2 Cu 2.91
Cu 0.3099 0.6901 0.5000  1 Cu 2.51
Cu 0.6901 0.3099 0.5000  1 Cu 2.51
Ni 0.3099 0.6901 0.0000  1 Ni 2.51, 2 Pm 2.76
Ni 0.6901 0.3099 0.0000  1 Ni 2.51, 2 Pm 2.76